An optimized crystal structure of La8Tb2Sc, computed with PBE-GGA.

Lattice parameters (Å, degrees): 5.8293 7.8904 16.8679 90.00 90.00 90.00
Space group Immm (No. 71)
Asymmetric unit:
1 La 0.0000 0.0000 0.1706 [4 per cell]
2 La 0.0000 0.2053 0.3715 [8 per cell]
3 La 0.0000 0.2764 0.0000 [4 per cell]
4 Tb 0.0000 0.5000 0.1992 [4 per cell]
5 Sc 0.0000 0.5000 0.5000 [2 per cell]

DOS(E_F) (states/eV/atom): 1.5461
Size of the total moment (μB/cell): 0.00
Energy of formation from the pure elements (kJ per mole of atoms): 10